Sm2TlHg: optimized geometry, GGA-PBEsol.

E_form = -2.004 eV per formula unit
DOS(E_F) = 4.239 states/eV/cell

Cell: 5.3160 5.3160 5.3160 Å, 60.00 60.00 60.00°
Positions (direct):
Hg  0.0000  0.0000  0.0000
Tl  0.5000  0.5000  0.5000
Sm  0.2500  0.2500  0.2500
Sm  0.7500  0.7500  0.7500